1.
{
  "formula": "EuTmZn2",
  "functional": "PBE-GGA",
  "state": "optimized geometry",
  "lattice": [[3.6265, 0.0000, 0.0000], [0.0000, 3.6265, 0.0000], [0.0000, 0.0000, 7.2940]],
  "species": ["Eu", "Tm", "Zn", "Zn"],
  "frac_coords": [[0.0000, 0.0000, 0.0000], [0.0000, 0.0000, 0.5000], [0.5000, 0.5000, 0.2818], [0.5000, 0.5000, 0.7182]],
  "ef_ev_per_atom": -0.301
}

=====

2.
{
  "formula": "Eu2TmZn",
  "functional": "PBE-GGA",
  "state": "optimized geometry",
  "lattice": [[3.7027, 0.0000, 0.0000], [0.0000, 3.7027, 0.0000], [0.0000, 0.0000, 9.0190]],
  "species": ["Eu", "Eu", "Tm", "Zn"],
  "frac_coords": [[0.0000, 0.0000, 0.2082], [0.0000, 0.0000, 0.7918], [0.5000, 0.5000, 0.5000], [0.5000, 0.5000, 0.0000]],
  "ef_ev_per_atom": -0.049
}

=====

3.
{
  "formula": "Eu2TmZn",
  "functional": "PBE-GGA",
  "state": "optimized geometry",
  "lattice": [[1.7975, 1.0378, 12.3382], [-1.7975, 1.0378, 12.3382], [0.0000, -2.0756, 12.3382]],
  "species": ["Eu", "Eu", "Tm", "Zn"],
  "frac_coords": [[0.0857, 0.0857, 0.0857], [0.9143, 0.9143, 0.9143], [0.5000, 0.5000, 0.5000], [0.0000, 0.0000, 0.0000]],
  "ef_ev_per_atom": 0.287
}

=====

4.
{
  "formula": "EuTm2Zr",
  "functional": "PBE-GGA",
  "state": "optimized geometry",
  "lattice": [[3.4488, 0.0000, 0.0000], [0.0000, 3.4488, 0.0000], [0.0000, 0.0000, 10.1314]],
  "species": ["Eu", "Tm", "Tm", "Zr"],
  "frac_coords": [[0.0000, 0.0000, 0.0000], [0.5000, 0.5000, 0.2839], [0.5000, 0.5000, 0.7161], [0.0000, 0.0000, 0.5000]],
  "ef_ev_per_atom": 0.088
}

=====

5.
{
  "formula": "EuTmZr",
  "functional": "PBE-GGA",
  "state": "optimized geometry",
  "lattice": [[-1.7062, 1.7062, 7.6373], [1.7062, -1.7062, 7.6373], [1.7062, 1.7062, -7.6373]],
  "species": ["Eu", "Tm", "Zr"],
  "frac_coords": [[0.0000, 0.0000, 0.0000], [0.6911, 0.6911, 0.0000], [0.3313, 0.3313, 0.0000]],
  "ef_ev_per_atom": 0.148
}

=====

6.
{
  "formula": "EuTm2Zr",
  "functional": "PBE-GGA",
  "state": "optimized geometry",
  "lattice": [[4.9215, 0.0000, 0.0000], [0.0000, 4.9215, 0.0000], [0.0000, 0.0000, 4.7911]],
  "species": ["Eu", "Tm", "Tm", "Zr"],
  "frac_coords": [[0.0000, 0.0000, 0.0000], [0.0000, 0.5000, 0.5000], [0.5000, 0.0000, 0.5000], [0.5000, 0.5000, 0.0000]],
  "ef_ev_per_atom": 0.195
}